Record 1
The following is a PBE calculation of a relaxed structure of Ce2ZnGa12, from the Alexandria database.

a b c (Å): 6.240 6.240 15.194
angles (deg): 90.00 90.00 90.00
Fractional coordinates of all 30 atoms:
Ga1 0.000 0.000 0.182
Ga2 0.000 0.000 0.343
Ga3 0.750 0.750 0.090
Ga4 0.750 0.250 0.090
Ga5 0.500 0.500 0.343
Ga6 0.750 0.250 0.910
Ga7 0.000 0.000 0.818
Ga8 0.672 0.172 0.428
Ga9 0.828 0.672 0.428
Ga10 0.672 0.828 0.572
Ga11 0.500 0.500 0.657
Ga12 0.172 0.328 0.428
Ga13 0.328 0.828 0.428
Ga14 0.250 0.750 0.090
Ga15 0.328 0.172 0.572
Ga16 0.750 0.750 0.910
Ga17 0.250 0.250 0.910
Ga18 0.000 0.000 0.657
Ga19 0.250 0.250 0.090
Ga20 0.172 0.672 0.572
Ga21 0.250 0.750 0.910
Ga22 0.500 0.500 0.818
Ga23 0.828 0.328 0.572
Ga24 0.500 0.500 0.182
Zn1 0.500 0.000 0.000
Zn2 0.000 0.500 0.000
Ce1 0.000 0.500 0.755
Ce2 0.500 0.000 0.755
Ce3 0.500 0.000 0.245
Ce4 0.000 0.500 0.245

Summary:
Theoretical density ... 6.6 Mg/m³
Size of the total moment ... 1.686 μB/f.u.
Formation energy ... -293 meV/atom

Record 2
The following is a PBE calculation of a relaxed structure of Sc4C, from the Alexandria database.

a b c (Å): 8.778 8.778 8.778
angles (deg): 157.39 157.39 32.19
Fractional coordinates of all 5 atoms:
Sc1 0.425 0.425 0.000
Sc2 0.250 0.750 0.500
Sc3 0.750 0.250 0.500
Sc4 0.575 0.575 0.000
C1 0.000 0.000 0.000

Summary:
Theoretical density ... 3.2 Mg/m³
Size of the total moment ... 0.000 μB/f.u.
Formation energy ... 992 meV/atom
Polymorph energy (0 for the lowest one) ... 5.88 eV per formula unit

Record 3
The following is a PBE calculation of a relaxed structure of Tm2MnSi4Ir3, from the Alexandria database.

a b c (Å): 4.025 4.025 10.176
angles (deg): 90.00 90.00 90.00
Fractional coordinates of all 10 atoms:
Ir1 0.500 0.000 0.870
Ir2 0.000 0.000 0.500
Ir3 0.000 0.500 0.130
Si1 0.000 0.000 0.000
Si2 0.500 0.000 0.634
Si3 0.500 0.500 0.000
Si4 0.000 0.500 0.366
Tm1 0.500 0.000 0.250
Tm2 0.000 0.500 0.750
Mn1 0.500 0.500 0.500

Summary:
ΔE_f (raw) ... -908 meV per atom
Theoretical density ... 10.9 Mg/m³
Size of the total moment ... 2.425 μB/f.u.

Record 4
The following is a PBE calculation of a relaxed structure of CsSeBr4, from the Alexandria database.

a b c (Å): 7.481 7.482 7.481
angles (deg): 108.79 108.79 110.85
Fractional coordinates of all 6 atoms:
Br1 0.706 0.290 0.999
Br2 0.293 0.294 0.585
Br3 0.292 0.707 0.001
Br4 0.710 0.708 0.415
Se1 0.500 0.500 0.000
Cs1 0.750 0.250 0.500

Summary:
ΔE_f (raw) ... -650 meV per atom
Theoretical density ... 2.7 Mg/m³
Size of the total moment ... 1.036 μB/f.u.
Polymorph energy (0 for the lowest one) ... 0.00 eV per formula unit

Record 5
The following is a PBE calculation of a relaxed structure of Ac5Si2Sb, from the Alexandria database.

a b c (Å): 8.673 8.673 9.502
angles (deg): 117.15 117.15 90.00
Fractional coordinates of all 16 atoms:
Ac1 0.793 0.984 0.277
Ac2 0.984 0.484 0.277
Ac3 0.000 0.000 0.000
Ac4 0.016 0.516 0.723
Ac5 0.707 0.207 0.723
Ac6 0.207 0.016 0.723
Ac7 0.500 0.500 0.000
Ac8 0.516 0.707 0.723
Ac9 0.293 0.793 0.277
Ac10 0.484 0.293 0.277
Si1 0.353 0.853 0.000
Si2 0.853 0.647 0.000
Si3 0.147 0.353 0.000
Si4 0.647 0.147 0.000
Sb1 0.750 0.750 0.500
Sb2 0.250 0.250 0.500

Summary:
ΔE_f (raw) ... -595 meV per atom
Theoretical density ... 8.0 Mg/m³
Size of the total moment ... 0.006 μB/f.u.

Record 6
The following is a PBE calculation of a relaxed structure of Cs3Cr5Br12, from the Alexandria database.

a b c (Å): 15.291 15.291 15.291
angles (deg): 109.48 109.48 109.48
Fractional coordinates of all 80 atoms:
Br1 0.180 0.097 0.995
Br2 0.597 0.602 0.418
Br3 0.582 0.898 0.403
Br4 0.315 0.898 0.995
Br5 0.495 0.680 0.097
Br6 0.403 0.398 0.582
Br7 0.685 0.102 0.005
Br8 0.597 0.995 0.680
Br9 0.418 0.102 0.597
Br10 0.685 0.582 0.180
Br11 0.918 0.097 0.602
Br12 0.995 0.597 0.180
Br13 0.898 0.315 0.495
Br14 0.815 0.495 0.398
Br15 0.398 0.403 0.082
Br16 0.005 0.602 0.685
Br17 0.185 0.505 0.602
Br18 0.815 0.320 0.918
Br19 0.418 0.315 0.320
Br20 0.602 0.005 0.185
Br21 0.102 0.685 0.505
Br22 0.505 0.320 0.903
Br23 0.082 0.180 0.185
Br24 0.680 0.495 0.597
Br25 0.495 0.815 0.898
Br26 0.903 0.082 0.898
Br27 0.918 0.820 0.815
Br28 0.403 0.005 0.320
Br29 0.097 0.918 0.102
Br30 0.820 0.918 0.315
Br31 0.180 0.082 0.685
Br32 0.898 0.582 0.903
Br33 0.398 0.995 0.815
Br34 0.602 0.597 0.918
Br35 0.315 0.418 0.820
Br36 0.820 0.903 0.005
Br37 0.320 0.815 0.418
Br38 0.082 0.903 0.398
Br39 0.005 0.403 0.820
Br40 0.097 0.180 0.495
Br41 0.102 0.418 0.097
Br42 0.320 0.505 0.403
Br43 0.185 0.680 0.082
Br44 0.505 0.185 0.102
Br45 0.582 0.685 0.680
Br46 0.903 0.820 0.505
Br47 0.680 0.185 0.582
Br48 0.995 0.398 0.315
Cs1 0.750 0.875 0.625
Cs2 0.875 0.750 0.125
Cs3 0.375 0.750 0.625
Cs4 0.750 0.375 0.125
Cs5 0.625 0.250 0.375
Cs6 0.375 0.625 0.250
Cs7 0.250 0.125 0.375
Cs8 0.125 0.250 0.875
Cs9 0.875 0.125 0.250
Cs10 0.250 0.625 0.875
Cs11 0.125 0.875 0.750
Cs12 0.625 0.375 0.750
Cr1 0.500 0.500 0.000
Cr2 0.375 0.125 0.750
Cr3 0.750 0.625 0.375
Cr4 0.000 0.000 0.000
Cr5 0.125 0.750 0.375
Cr6 0.000 0.000 0.500
Cr7 0.000 0.500 0.000
Cr8 0.125 0.375 0.250
Cr9 0.250 0.375 0.625
Cr10 0.625 0.750 0.875
Cr11 0.000 0.500 0.500
Cr12 0.500 0.000 0.000
Cr13 0.250 0.875 0.125
Cr14 0.375 0.250 0.125
Cr15 0.875 0.625 0.750
Cr16 0.625 0.875 0.250
Cr17 0.500 0.000 0.500
Cr18 0.875 0.250 0.625
Cr19 0.500 0.500 0.500
Cr20 0.750 0.125 0.875

Summary:
ΔE_f (raw) ... -883 meV per atom
Theoretical density ... 3.9 Mg/m³
Size of the total moment ... 21.000 μB/f.u.

Record 7
The following is a PBE calculation of a relaxed structure of Pr2InCu2Pt5, from the Alexandria database.

a b c (Å): 3.954 9.651 9.651
angles (deg): 90.00 90.00 90.00
Fractional coordinates of all 20 atoms:
In1 0.000 0.500 0.500
In2 0.000 0.000 0.000
Pr1 0.000 0.177 0.323
Pr2 0.000 0.823 0.677
Pr3 0.000 0.677 0.177
Pr4 0.000 0.323 0.823
Cu1 0.000 0.120 0.620
Cu2 0.000 0.620 0.880
Cu3 0.000 0.380 0.120
Cu4 0.000 0.880 0.380
Pt1 0.500 0.289 0.566
Pt2 0.500 0.789 0.934
Pt3 0.500 0.566 0.711
Pt4 0.500 0.711 0.434
Pt5 0.500 0.000 0.500
Pt6 0.500 0.211 0.066
Pt7 0.500 0.934 0.211
Pt8 0.500 0.500 0.000
Pt9 0.500 0.066 0.789
Pt10 0.500 0.434 0.289

Summary:
Theoretical density ... 13.5 Mg/m³
Size of the total moment ... 0.000 μB/f.u.
Formation energy ... -747 meV/atom

Record 8
The following is a PBE calculation of a relaxed structure of MgCrIn2, from the Alexandria database.

a b c (Å): 5.451 5.451 5.451
angles (deg): 133.64 133.58 67.69
Fractional coordinates of all 4 atoms:
Mg1 0.500 0.500 0.000
In1 0.000 0.000 0.000
In2 0.750 0.250 0.500
Cr1 0.250 0.750 0.500

Summary:
Theoretical density ... 6.1 Mg/m³
Size of the total moment ... 3.533 μB/f.u.
Formation energy ... 197 meV/atom

> The highest theoretical density belongs to which entry?

Pr2InCu2Pt5